Tl3Cu | GGA-PBE | relaxed

- calculated volume (Å³ per atom) = 26.95
- E (Ha/atom) = -0.097
- space group = No. 63
- formation energy (meV/atom) = 172

Cell and atoms, written as CIF:
```
data_Tl3Cu
_chemical_formula_sum 'Tl6 Cu2'
_cell_length_a 7.555
_cell_length_b 7.555
_cell_length_c 3.875
_cell_angle_alpha 90.00
_cell_angle_beta 90.00
_cell_angle_gamma 102.91
_space_group_name_H-M_alt 'P 1'
_space_group_IT_number 1
loop_
_space_group_symop_operation_xyz
'x,y,z'
loop_
_atom_site_label
_atom_site_type_symbol
_atom_site_fract_x
_atom_site_fract_y
_atom_site_fract_z
Tl1 Tl 0.838 0.570 0.750
Cu1 Cu 0.435 0.565 0.750
Tl2 Tl 0.121 0.879 0.250
Tl3 Tl 0.430 0.162 0.750
Tl4 Tl 0.162 0.430 0.250
Tl5 Tl 0.879 0.121 0.750
Tl6 Tl 0.570 0.838 0.250
Cu2 Cu 0.565 0.435 0.250
```